Below is a relaxed LiZn2Ir crystal, with properties calculated at the PBEsol level.

```
LiZn2Ir
1.0
2.705 0.000 0.000
0.000 2.705 0.000
0.000 0.000 7.608
Li Zn Ir
1 2 1
Direct
0.000 0.000 0.000 Li
0.000 0.000 0.522 Zn
0.500 0.500 0.265 Zn
0.500 0.500 0.757 Ir
```

Output
total DFT energy (no corrections)	-15.0	eV for the cell shown



Below is a relaxed Li2ZnIr crystal, with properties calculated at the PBEsol level.

```
Li2ZnIr
1.0
2.561 0.000 0.000
0.000 4.026 0.000
0.000 0.000 5.272
Li Zn Ir
2 1 1
Direct
0.000 0.000 0.000 Li
0.500 0.500 0.261 Li
0.000 0.000 0.530 Zn
0.500 0.500 0.755 Ir
```

Output
total DFT energy (no corrections)	-15.9	eV for the cell shown



Below is a relaxed Li2ZnIr crystal, with properties calculated at the PBEsol level.

```
Li2ZnIr
1.0
4.411 -1.264 0.000
4.411 1.264 0.000
-0.469 0.000 4.849
Li Zn Ir
2 1 1
Direct
0.000 0.000 0.000 Li
0.237 0.237 0.747 Li
0.489 0.489 0.478 Zn
0.747 0.747 0.249 Ir
```

Output
total DFT energy (no corrections)	-15.9	eV for the cell shown



Below is a relaxed Li2ZnIr crystal, with properties calculated at the PBEsol level.

```
Li2ZnIr
1.0
1.326 0.766 8.984
-1.326 0.766 8.984
0.000 -1.531 8.984
Li Zn Ir
2 1 1
Direct
0.245 0.245 0.245 Li
0.755 0.755 0.755 Li
0.000 0.000 0.000 Zn
0.500 0.500 0.500 Ir
```

Output
total DFT energy (no corrections)	-15.9	eV for the cell shown